Entry from the Alexandria database: a relaxed Hg3HI crystal (GGA-PBE).

Excess energy over the best structure of this formula in the dataset (meV per atom): 0.0
Total energy (eV/atom): -1.136

Unit cell a=7.0297 b=7.0312 c=7.3130 alpha=67.09 beta=86.08 gamma=66.65
Closest atoms and distances in Å follow each position.
Element x y z (fractional)
Hg 0.1507 0.2689 0.2417  1 H 1.70
Hg 0.2416 0.0754 0.7135  1 H 2.28
Hg 0.2616 0.5261 0.7437  1 Hg 2.69, 1 I 2.84
Hg 0.7384 0.4739 0.2563  1 Hg 2.69, 1 I 2.84
Hg 0.7584 0.9246 0.2865  1 H 2.28
Hg 0.8493 0.7311 0.7583  1 H 1.70
H 0.4070 0.1300 0.2247  1 Hg 1.70
H 0.5930 0.8700 0.7753  1 Hg 1.70
I 0.2978 0.6861 0.2232  1 Hg 2.84
I 0.7022 0.3139 0.7768  1 Hg 2.84

Entry from the Alexandria database: a relaxed Hg12H5I3 crystal (GGA-PBE).

DOS(E_F) (states/eV/cell): 17.3
Total energy (eV/atom): -0.951

Unit cell a=13.7043 b=13.7043 c=13.7043 alpha=109.47 beta=109.47 gamma=109.47
Closest atoms and distances in Å follow each position.
Element x y z (fractional)
Hg 0.0150 0.6956 0.0969  1 H 2.17
Hg 0.0150 0.8193 0.9180  1 H 2.17
Hg 0.0820 0.5969 0.9013  1 H 2.17
Hg 0.0820 0.9850 0.1807  1 H 2.17
Hg 0.0969 0.0150 0.6956  1 H 2.17
Hg 0.0969 0.5820 0.4013  1 H 2.17
Hg 0.0987 0.6807 0.6956  1 H 2.17
Hg 0.0987 0.9180 0.4031  1 H 2.17
Hg 0.1807 0.0820 0.9850  1 H 2.17
Hg 0.1807 0.5987 0.1956  1 H 2.17
Hg 0.1956 0.1807 0.5987  1 H 2.17
Hg 0.1956 0.5150 0.5969  1 H 2.17
Hg 0.3044 0.9013 0.3193  1 H 2.17
Hg 0.3044 0.9031 0.9850  1 H 2.17
Hg 0.3193 0.3044 0.9013  1 H 2.17
Hg 0.3193 0.5150 0.4180  1 H 2.17
Hg 0.4013 0.0969 0.5820  1 H 2.17
Hg 0.4013 0.8044 0.8193  1 H 2.17
Hg 0.4031 0.0987 0.9180  1 H 2.17
Hg 0.4031 0.8044 0.4850  1 H 2.17
Hg 0.4180 0.3193 0.5150  1 H 2.17
Hg 0.4180 0.5987 0.9031  1 H 2.17
Hg 0.4850 0.4031 0.8044  1 H 2.17
Hg 0.4850 0.5820 0.6807  1 H 2.17
Hg 0.5150 0.4180 0.3193  1 H 2.17
Hg 0.5150 0.5969 0.1956  1 H 2.17
Hg 0.5820 0.4013 0.0969  1 H 2.17
Hg 0.5820 0.6807 0.4850  1 H 2.17
Hg 0.5969 0.1956 0.5150  1 H 2.17
Hg 0.5969 0.9013 0.0820  1 H 2.17
Hg 0.5987 0.1956 0.1807  1 H 2.17
Hg 0.5987 0.9031 0.4180  1 H 2.17
Hg 0.6807 0.4850 0.5820  1 H 2.17
Hg 0.6807 0.6956 0.0987  1 H 2.17
Hg 0.6956 0.0969 0.0150  1 H 2.17
Hg 0.6956 0.0987 0.6807  1 H 2.17
Hg 0.8044 0.4850 0.4031  1 H 2.17
Hg 0.8044 0.8193 0.4013  1 H 2.17
Hg 0.8193 0.4013 0.8044  1 H 2.17
Hg 0.8193 0.9180 0.0150  1 H 2.17
Hg 0.9013 0.0820 0.5969  1 H 2.17
Hg 0.9013 0.3193 0.3044  1 H 2.17
Hg 0.9031 0.4180 0.5987  1 H 2.17
Hg 0.9031 0.9850 0.3044  1 H 2.17
Hg 0.9180 0.0150 0.8193  1 H 2.17
Hg 0.9180 0.4031 0.0987  1 H 2.17
Hg 0.9850 0.1807 0.0820  1 H 2.17
Hg 0.9850 0.3044 0.9031  1 H 2.17
H 0.0000 0.0000 0.0000  6 Hg 2.46
H 0.0000 0.0000 0.5000  6 Hg 2.46
H 0.0000 0.5000 0.0000  6 Hg 2.46
H 0.0000 0.5000 0.5000  6 Hg 2.46
H 0.1250 0.7500 0.8750  4 Hg 2.17
H 0.1250 0.8750 0.2500  4 Hg 2.17
H 0.2500 0.1250 0.8750  4 Hg 2.17
H 0.2500 0.6250 0.3750  4 Hg 2.17
H 0.3750 0.2500 0.6250  4 Hg 2.17
H 0.3750 0.6250 0.7500  4 Hg 2.17
H 0.5000 0.0000 0.0000  6 Hg 2.46
H 0.5000 0.0000 0.5000  6 Hg 2.46
H 0.5000 0.5000 0.0000  6 Hg 2.46
H 0.5000 0.5000 0.5000  6 Hg 2.46
H 0.6250 0.3750 0.2500  4 Hg 2.17
H 0.6250 0.7500 0.3750  4 Hg 2.17
H 0.7500 0.3750 0.6250  4 Hg 2.17
H 0.7500 0.8750 0.1250  4 Hg 2.17
H 0.8750 0.1250 0.7500  4 Hg 2.17
H 0.8750 0.2500 0.1250  4 Hg 2.17
I 0.1250 0.2500 0.3750  8 Hg 3.42-3.44
I 0.1250 0.3750 0.7500  8 Hg 3.42-3.44
I 0.2500 0.3750 0.1250  8 Hg 3.42-3.44
I 0.2500 0.8750 0.6250  8 Hg 3.42-3.44
I 0.3750 0.1250 0.2500  8 Hg 3.42-3.44
I 0.3750 0.7500 0.1250  8 Hg 3.42-3.44
I 0.6250 0.2500 0.8750  8 Hg 3.42-3.44
I 0.6250 0.8750 0.7500  8 Hg 3.42-3.44
I 0.7500 0.1250 0.3750  8 Hg 3.42-3.44
I 0.7500 0.6250 0.8750  8 Hg 3.42-3.44
I 0.8750 0.6250 0.2500  8 Hg 3.42-3.44
I 0.8750 0.7500 0.6250  8 Hg 3.42-3.44

Entry from the Alexandria database: a relaxed HgHI2 crystal (GGA-PBE).

DOS(E_F) (states/eV/cell): 18.5
Excess energy over the best structure of this formula in the dataset (meV per atom): 444.0
Total energy (eV/atom): -1.344

Unit cell a=6.8983 b=6.8983 c=9.8774 alpha=90.00 beta=90.00 gamma=90.00
Closest atoms and distances in Å follow each position.
Element x y z (fractional)
Hg 0.0000 0.0000 0.0000  4 I 3.19
Hg 0.0000 0.5000 0.2500  4 I 3.19
Hg 0.5000 0.0000 0.7500  4 I 3.19
Hg 0.5000 0.5000 0.5000  4 I 3.19
H 0.0000 0.0000 0.5000  4 I 2.38
H 0.0000 0.5000 0.7500  4 I 2.38
H 0.5000 0.0000 0.2500  4 I 2.38
H 0.5000 0.5000 0.0000  4 I 2.38
I 0.1550 0.2500 0.6250  2 H 2.38
I 0.2500 0.6550 0.8750  2 H 2.38
I 0.2500 0.8450 0.3750  2 H 2.38
I 0.3450 0.2500 0.1250  2 H 2.38
I 0.6550 0.7500 0.1250  2 H 2.38
I 0.7500 0.1550 0.3750  2 H 2.38
I 0.7500 0.3450 0.8750  2 H 2.38
I 0.8450 0.7500 0.6250  2 H 2.38

Entry from the Alexandria database: a relaxed HgH2I crystal (GGA-PBE).

DOS(E_F) (states/eV/cell): 19.0
Excess energy over the best structure of this formula in the dataset (meV per atom): 561.0
Total energy (eV/atom): -1.659

Unit cell a=6.0228 b=6.0228 c=8.5496 alpha=90.00 beta=90.00 gamma=90.00
Closest atoms and distances in Å follow each position.
Element x y z (fractional)
Hg 0.0000 0.2500 0.3750  4 H 1.85
Hg 0.0000 0.7500 0.6250  4 H 1.85
Hg 0.5000 0.2500 0.1250  4 H 1.85
Hg 0.5000 0.7500 0.8750  4 H 1.85
H 0.0000 0.0000 0.5000  2 Hg 1.85
H 0.0000 0.5000 0.5000  2 Hg 1.85
H 0.2500 0.2500 0.2500  2 Hg 1.85
H 0.2500 0.7500 0.7500  2 Hg 1.85
H 0.5000 0.0000 0.0000  2 Hg 1.85
H 0.5000 0.5000 0.0000  2 Hg 1.85
H 0.7500 0.2500 0.2500  2 Hg 1.85
H 0.7500 0.7500 0.7500  2 Hg 1.85
I 0.0000 0.2500 0.8750  12 H 3.53-3.54, 4 Hg 3.69, 4 I 3.69
I 0.0000 0.7500 0.1250  12 H 3.53-3.54, 4 Hg 3.69, 4 I 3.69
I 0.5000 0.2500 0.6250  12 H 3.53-3.54, 4 Hg 3.69, 4 I 3.69
I 0.5000 0.7500 0.3750  12 H 3.53-3.54, 4 Hg 3.69, 4 I 3.69

Entry from the Alexandria database: a relaxed HgH2I4 crystal (GGA-PBE).

DOS(E_F) (states/eV/cell): 0.0
Total energy (eV/atom): -1.986

Unit cell a=9.1302 b=9.6396 c=7.1391 alpha=90.00 beta=120.89 gamma=90.00
Closest atoms and distances in Å follow each position.
Element x y z (fractional)
Hg 0.0000 0.0000 0.0000  2 I 2.68-2.72
Hg 0.5000 0.5000 0.0000  2 I 2.68-2.72
H 0.1793 0.3369 0.1815  1 I 1.68
H 0.1793 0.6631 0.1815  1 I 1.68
H 0.6793 0.1631 0.1815  1 I 1.68
H 0.6793 0.8369 0.1815  1 I 1.68
I 0.1654 0.2369 0.3650  1 H 1.68
I 0.1654 0.7631 0.3650  1 H 1.68
I 0.1722 0.5000 0.9110  2 H 2.47, 1 Hg 2.72
I 0.2055 0.0000 0.8341  1 Hg 2.68
I 0.6654 0.2631 0.3650  1 H 1.68
I 0.6654 0.7369 0.3650  1 H 1.68
I 0.6722 0.0000 0.9110  2 H 2.47, 1 Hg 2.72
I 0.7055 0.5000 0.8341  1 Hg 2.68

Entry from the Alexandria database: a relaxed Hg5H2I3 crystal (GGA-PBE).

Total energy (eV/atom): -1.310

Unit cell a=7.3301 b=8.6095 c=11.5577 alpha=83.99 beta=72.96 gamma=68.10
Closest atoms and distances in Å follow each position.
Element x y z (fractional)
Hg 0.0396 0.0177 0.1459  1 H 2.38
Hg 0.0658 0.7181 0.0287  3 Hg 2.91-3.05, 2 I 3.05-3.24
Hg 0.0766 0.8683 0.3993  3 Hg 3.08-3.12, 1 H 3.21
Hg 0.1897 0.5788 0.6398  1 H 1.67
Hg 0.2048 0.5482 0.2496  1 H 2.25
Hg 0.7952 0.4518 0.7504  1 H 2.25
Hg 0.8103 0.4212 0.3602  1 H 1.67
Hg 0.9234 0.1317 0.6007  3 Hg 3.08-3.12, 1 H 3.21
Hg 0.9342 0.2819 0.9713  3 Hg 2.91-3.05, 2 I 3.05-3.24
Hg 0.9604 0.9823 0.8541  1 H 2.38
H 0.0662 0.7629 0.7125  1 Hg 1.67
H 0.3693 0.2744 0.2035  1 I 1.69
H 0.6307 0.7256 0.7965  1 I 1.69
H 0.9338 0.2371 0.2875  1 Hg 1.67
I 0.3278 0.3950 0.8854  3 Hg 3.05-3.34
I 0.3764 0.2960 0.5039  1 Hg 2.71
I 0.4899 0.0658 0.1815  1 H 1.69
I 0.5101 0.9342 0.8185  1 H 1.69
I 0.6236 0.7040 0.4961  1 Hg 2.71
I 0.6722 0.6050 0.1146  3 Hg 3.05-3.34

Entry from the Alexandria database: a relaxed HgH6I crystal (GGA-PBE).

DOS(E_F) (states/eV/cell): 0.9
Total energy (eV/atom): -2.638

Unit cell a=5.5057 b=11.2264 c=4.9074 alpha=90.00 beta=93.43 gamma=90.00
Closest atoms and distances in Å follow each position.
Element x y z (fractional)
Hg 0.0000 0.0000 0.0000  2 H 1.77
Hg 0.5000 0.5000 0.0000  2 H 1.77
H 0.0146 0.2722 0.9262  1 H 0.75
H 0.0146 0.7278 0.9262  1 H 0.75
H 0.2265 0.0000 0.7585  1 Hg 1.77
H 0.2735 0.5000 0.2415  1 Hg 1.77
H 0.4854 0.2278 0.0738  1 H 0.75
H 0.4854 0.7722 0.0738  1 H 0.75
H 0.5146 0.2278 0.9262  1 H 0.75
H 0.5146 0.7722 0.9262  1 H 0.75
H 0.7265 0.5000 0.7585  1 Hg 1.77
H 0.7735 0.0000 0.2415  1 Hg 1.77
H 0.9854 0.2722 0.0738  1 H 0.75
H 0.9854 0.7278 0.0738  1 H 0.75
I 0.0000 0.5000 0.5000  2 H 2.03
I 0.5000 0.0000 0.5000  2 H 2.03

Entry from the Alexandria database: a relaxed InHg2HI crystal (GGA-PBE).

DOS(E_F) (states/eV/cell): 3.0
Total energy (eV/atom): -1.553

Unit cell a=5.8473 b=5.8473 c=4.0326 alpha=90.00 beta=90.00 gamma=90.00
Closest atoms and distances in Å follow each position.
Element x y z (fractional)
In 0.0000 0.0000 0.0000  2 H 2.02
Hg 0.0000 0.5000 0.0000  2 In 2.92
Hg 0.5000 0.0000 0.0000  2 In 2.92
H 0.0000 0.0000 0.5000  2 In 2.02
I 0.5000 0.5000 0.5000  8 Hg 3.55